Entry from the Open Quantum Materials Database: a geometry-optimized Er3As2Se structure (PBE).

```
data_Er3As2Se
_cell_length_a 4.0640
_cell_length_b 4.0640
_cell_length_c 9.9657
_cell_angle_alpha 90.00
_cell_angle_beta 90.00
_cell_angle_gamma 120.00
_symmetry_space_group_name_H-M 'P -3 m 1'
_symmetry_Int_Tables_number 164
_symmetry_space_group_name_Hall '-P 3 2"'
loop_
_atom_site_label
_atom_site_fract_x
_atom_site_fract_y
_atom_site_fract_z
_atom_site_occupancy
Er1 0.0000 0.0000 0.0000 1
Er2 0.3333 0.6667 0.6777 1
As1 0.3333 0.6667 0.1668 1
Se1 0.0000 0.0000 0.5000 1
```

electronic total energy	-6.05	eV per atom